## YW3 (PBE)

Data for YW3 after structural relaxation.

Cell lengths 3.066, 9.444, 3.066 Å; angles 99.34, 60.00, 99.34 degrees
Fractional positions:
1 W 0.990 0.970 0.990
2 W 0.250 0.750 0.250
3 W 0.510 0.530 0.510
4 Y 0.750 0.250 0.750

Output
Total energy   -10.688 eV/atom
N(E_F)   1.02 states/eV per atom
Formation energy   62.1 kJ/mol of atoms